Compound: BaAc8Ir5
Source: the Alexandria database
Functional: PBE-GGA
Structure: relaxed

CIF file:
```
data_BaAc8Ir5
_space_group_name_H-M_alt 'P 1'
_space_group_IT_number 1
_cell_length_a 11.5805
_cell_length_b 11.5805
_cell_length_c 10.7112
_cell_angle_alpha 103.46
_cell_angle_beta 103.46
_cell_angle_gamma 22.07
loop_
_space_group_symop_operation_xyz
'x,y,z'
loop_
_atom_site_label
_atom_site_fract_x
_atom_site_fract_y
_atom_site_fract_z
_atom_site_occupancy
Ba1 0.0000 0.0000 0.0000 1
Ac1 0.0729 0.0729 0.6536 1
Ac2 0.2600 0.2600 0.3408 1
Ac3 0.3223 0.3223 0.0108 1
Ac4 0.4044 0.4044 0.6480 1
Ac5 0.5956 0.5956 0.3520 1
Ac6 0.6777 0.6777 0.9892 1
Ac7 0.7400 0.7400 0.6592 1
Ac8 0.9271 0.9271 0.3464 1
Ir1 0.1651 0.1651 0.4999 1
Ir2 0.2017 0.2017 0.8226 1
Ir3 0.5000 0.5000 0.5000 1
Ir4 0.7983 0.7983 0.1774 1
Ir5 0.8349 0.8349 0.5001 1
```

Calculated values
The calculation puts the spin magnetization at 0.00 Bohr magnetons per cell. The value obtained for the final energy is -0.228 Ha/atom. The calculation puts the density of states at the Fermi level at 8.86 states/eV/f.u. For the formation energy, the calculation gives -0.5621 eV per atom.